Entry 1:
# TlAgC, optimized geometry, DFT PBE-GGA
# * total magnetic moment: 0.00 μB/f.u.
# * E_form: 1.41 eV/atom
# * uncorrected energy: -3.399 eV/atom
data_TlAgC
_symmetry_space_group_name_H-M 'P n m a'
_symmetry_Int_Tables_number 62
_symmetry_space_group_name_Hall '-P 2ac 2n'
_cell_length_a 11.983
_cell_length_b 3.509
_cell_length_c 5.530
_cell_angle_alpha 90.00
_cell_angle_beta 90.00
_cell_angle_gamma 90.00
loop_
_atom_site_label
_atom_site_fract_x
_atom_site_fract_y
_atom_site_fract_z
_atom_site_occupancy
Tl1 0.038 0.250 0.247 1
Ag1 0.221 0.250 0.692 1
C1 0.158 0.750 0.492 1

***

Entry 2:
# RbNpZn2Br8, optimized geometry, DFT PBE-GGA
# * formation energy from raw total energies: -1.1479 eV/atom
# * total magnetic moment: 4.00 μB/f.u.
# * uncorrected energy: -3.635 eV/atom
data_RbNpZn2Br8
_symmetry_space_group_name_H-M 'R -3'
_symmetry_Int_Tables_number 148
_symmetry_space_group_name_Hall '-R 3'
_cell_length_a 6.8944
_cell_length_b 6.8944
_cell_length_c 31.6063
_cell_angle_alpha 90.00
_cell_angle_beta 90.00
_cell_angle_gamma 120.00
loop_
_atom_site_label
_atom_site_fract_x
_atom_site_fract_y
_atom_site_fract_z
_atom_site_occupancy
Rb1 0.0000 0.0000 0.0000 1
Np1 0.0000 0.0000 0.5000 1
Zn1 0.0000 0.0000 0.2497 1
Br1 0.0000 0.0000 0.3241 1
Br2 0.0001 0.3268 0.1113 1

***

Entry 3:
# ScCr2Mo, optimized geometry, DFT PBE-GGA
# * total magnetic moment: 1.76 μB/f.u.
# * E_form: 0.49 eV/atom
# * excess energy over the best structure of this formula in the dataset: 1.19 eV per formula unit
# * uncorrected energy: -8.612 eV/atom
data_ScCr2Mo
_symmetry_space_group_name_H-M 'R -3 m'
_symmetry_Int_Tables_number 166
_symmetry_space_group_name_Hall '-R 3 2"'
_cell_length_a 2.9558
_cell_length_b 2.9558
_cell_length_c 24.8752
_cell_angle_alpha 90.00
_cell_angle_beta 90.00
_cell_angle_gamma 120.00
loop_
_atom_site_label
_atom_site_fract_x
_atom_site_fract_y
_atom_site_fract_z
_atom_site_occupancy
Sc1 0.0000 0.0000 0.0000 1
Cr1 0.0000 0.0000 0.2416 1
Mo1 0.0000 0.0000 0.5000 1

***

Entry 4:
# Ce4AlTc2, optimized geometry, DFT PBE-GGA
# * total magnetic moment: 0.00 μB/f.u.
# * E_form: -0.02 eV/atom
# * uncorrected energy: -6.911 eV/atom
data_Ce4AlTc2
_symmetry_space_group_name_H-M 'I -4 2 d'
_symmetry_Int_Tables_number 122
_symmetry_space_group_name_Hall 'I -4 2bw'
_cell_length_a 8.924
_cell_length_b 8.924
_cell_length_c 8.345
_cell_angle_alpha 90.00
_cell_angle_beta 90.00
_cell_angle_gamma 90.00
loop_
_atom_site_label
_atom_site_fract_x
_atom_site_fract_y
_atom_site_fract_z
_atom_site_occupancy
Ce1 0.065 0.677 0.418 1
Al1 0.000 0.000 0.500 1
Tc1 0.162 0.750 0.125 1

***

Entry 5:
# LaTb2Lu, optimized geometry, DFT PBE-GGA
# * total magnetic moment: 0.00 μB/f.u.
# * E_form: 0.03 eV/atom
# * excess energy over the best structure of this formula in the dataset: 0.02 eV per formula unit
# * uncorrected energy: -4.645 eV/atom
data_LaTb2Lu
_symmetry_space_group_name_H-M 'P 4/m m m'
_symmetry_Int_Tables_number 123
_symmetry_space_group_name_Hall '-P 4 2'
_cell_length_a 5.042
_cell_length_b 5.042
_cell_length_c 5.128
_cell_angle_alpha 90.00
_cell_angle_beta 90.00
_cell_angle_gamma 90.00
loop_
_atom_site_label
_atom_site_fract_x
_atom_site_fract_y
_atom_site_fract_z
_atom_site_occupancy
La1 0.000 0.000 0.000 1
Tb1 0.000 0.500 0.500 1
Lu1 0.500 0.500 0.000 1

***

Entry 6:
# AcMgSiPd2, optimized geometry, DFT PBE-GGA
# * formation energy from raw total energies: -0.7315 eV/atom
# * total magnetic moment: 0.00 μB/f.u.
# * uncorrected energy: -5.034 eV/atom
data_AcMgSiPd2
_symmetry_space_group_name_H-M 'I m m 2'
_symmetry_Int_Tables_number 44
_symmetry_space_group_name_Hall 'I 2 -2'
_cell_length_a 3.873
_cell_length_b 4.461
_cell_length_c 12.170
_cell_angle_alpha 90.00
_cell_angle_beta 90.00
_cell_angle_gamma 90.00
loop_
_atom_site_label
_atom_site_fract_x
_atom_site_fract_y
_atom_site_fract_z
_atom_site_occupancy
Ac1 0.000 0.000 0.000 1
Mg1 0.000 0.500 0.753 1
Si1 0.000 0.000 0.622 1
Pd1 0.000 0.000 0.415 1
Pd2 0.000 0.500 0.243 1

***

Entry 7:
# GaAs2Ru, optimized geometry, DFT PBE-GGA
# * total magnetic moment: 0.00 μB/f.u.
# * E_form: 0.37 eV/atom
# * uncorrected energy: -5.026 eV/atom
data_GaAs2Ru
_symmetry_space_group_name_H-M 'R -3 m'
_symmetry_Int_Tables_number 166
_symmetry_space_group_name_Hall '-R 3 2"'
_cell_length_a 2.8645
_cell_length_b 2.8645
_cell_length_c 30.8215
_cell_angle_alpha 90.00
_cell_angle_beta 90.00
_cell_angle_gamma 120.00
loop_
_atom_site_label
_atom_site_fract_x
_atom_site_fract_y
_atom_site_fract_z
_atom_site_occupancy
Ga1 0.0000 0.0000 0.0000 1
As1 0.0000 0.0000 0.4220 1
Ru1 0.0000 0.0000 0.5000 1

***

Entry 8:
# Sr3SnPb3Se8, optimized geometry, DFT PBE-GGA
# * formation energy from raw total energies: -1.0929 eV/atom
# * total magnetic moment: 0.00 μB/f.u.
# * uncorrected energy: -4.296 eV/atom
data_Sr3SnPb3Se8
_symmetry_space_group_name_H-M 'R -3 m'
_symmetry_Int_Tables_number 166
_symmetry_space_group_name_Hall '-R 3 2"'
_cell_length_a 8.8229
_cell_length_b 8.8229
_cell_length_c 21.4670
_cell_angle_alpha 90.00
_cell_angle_beta 90.00
_cell_angle_gamma 120.00
loop_
_atom_site_label
_atom_site_fract_x
_atom_site_fract_y
_atom_site_fract_z
_atom_site_occupancy
Sr1 0.0000 0.5000 0.0000 1
Sn1 0.0000 0.0000 0.0000 1
Pb1 0.0000 0.5000 0.5000 1
Se1 0.0000 0.0000 0.2508 1
Se2 0.0366 0.5183 0.7414 1

***

Entry 9:
# ThCdGe2Rh5, optimized geometry, DFT PBE-GGA
# * total magnetic moment: 0.00 μB/f.u.
# * E_form: -0.51 eV/atom
# * uncorrected energy: -6.545 eV/atom
data_ThCdGe2Rh5
_symmetry_space_group_name_H-M 'P 4/m m m'
_symmetry_Int_Tables_number 123
_symmetry_space_group_name_Hall '-P 4 2'
_cell_length_a 4.216
_cell_length_b 4.216
_cell_length_c 8.939
_cell_angle_alpha 90.00
_cell_angle_beta 90.00
_cell_angle_gamma 90.00
loop_
_atom_site_label
_atom_site_fract_x
_atom_site_fract_y
_atom_site_fract_z
_atom_site_occupancy
Th1 0.000 0.000 0.000 1
Cd1 0.000 0.000 0.500 1
Ge1 0.500 0.500 0.363 1
Rh1 0.000 0.500 0.232 1
Rh2 0.500 0.500 0.000 1

***

Entry 10:
# Nd3SmTl4Te8, optimized geometry, DFT PBE-GGA
# * formation energy from raw total energies: -1.0741 eV/atom
# * total magnetic moment: 0.00 μB/f.u.
# * uncorrected energy: -4.425 eV/atom
data_Nd3SmTl4Te8
_symmetry_space_group_name_H-M 'R -3 m'
_symmetry_Int_Tables_number 166
_symmetry_space_group_name_Hall '-R 3 2"'
_cell_length_a 9.1204
_cell_length_b 9.1204
_cell_length_c 24.5341
_cell_angle_alpha 90.00
_cell_angle_beta 90.00
_cell_angle_gamma 120.00
loop_
_atom_site_label
_atom_site_fract_x
_atom_site_fract_y
_atom_site_fract_z
_atom_site_occupancy
Nd1 0.0000 0.5000 0.0000 1
Sm1 0.0000 0.0000 0.0000 1
Tl1 0.0000 0.0000 0.5000 1
Tl2 0.0000 0.5000 0.5000 1
Te1 0.0000 0.0000 0.2597 1
Te2 0.0026 0.5013 0.7399 1

***

Entry 11:
# NpAl2Au2, optimized geometry, DFT PBE-GGA
# * total magnetic moment: 4.32 μB/f.u.
# * E_form: -0.30 eV/atom
# * excess energy over the best structure of this formula in the dataset: 0.17 eV per formula unit
# * uncorrected energy: -5.694 eV/atom
data_NpAl2Au2
_symmetry_space_group_name_H-M 'C 1 2/m 1'
_symmetry_Int_Tables_number 12
_symmetry_space_group_name_Hall '-C 2y'
_cell_length_a 14.155
_cell_length_b 3.178
_cell_length_c 10.305
_cell_angle_alpha 90.00
_cell_angle_beta 122.98
_cell_angle_gamma 90.00
loop_
_atom_site_label
_atom_site_fract_x
_atom_site_fract_y
_atom_site_fract_z
_atom_site_occupancy
Np1 0.000 0.000 0.000 1
Np2 0.000 0.000 0.500 1
Al1 0.134 0.500 0.363 1
Al2 0.237 0.500 0.112 1
Au1 0.088 0.500 0.815 1
Au2 0.233 0.500 0.669 1

***

Entry 12:
# CsBaInO3, optimized geometry, DFT PBE-GGA
# * formation energy from raw total energies: -1.6947 eV/atom
# * total magnetic moment: 0.00 μB/f.u.
# * uncorrected energy: -5.093 eV/atom
data_CsBaInO3
_symmetry_space_group_name_H-M 'C 1 2/m 1'
_symmetry_Int_Tables_number 12
_symmetry_space_group_name_Hall '-C 2y'
_cell_length_a 14.706
_cell_length_b 4.414
_cell_length_c 8.400
_cell_angle_alpha 90.00
_cell_angle_beta 105.49
_cell_angle_gamma 90.00
loop_
_atom_site_label
_atom_site_fract_x
_atom_site_fract_y
_atom_site_fract_z
_atom_site_occupancy
Cs1 0.153 0.000 0.071 1
Ba1 0.156 0.000 0.582 1
In1 0.007 0.500 0.284 1
O1 0.007 0.000 0.304 1
O2 0.138 0.500 0.781 1
O3 0.153 0.500 0.356 1